Density functional theory data (PBE) for crystalline PmPrFe4 at its relaxed geometry.

Cell lengths 5.263, 5.263, 5.263 Å; angles 60.00, 60.00, 60.00 degrees
Element x y z (fractional)
1 Pm 0.000 0.000 0.000
2 Pr 0.250 0.250 0.250
3 Fe 0.124 0.625 0.625
4 Fe 0.625 0.124 0.625
5 Fe 0.625 0.625 0.124
6 Fe 0.625 0.625 0.625

Results
The space group is No. 216. As for the crystal system: cubic. The energy of formation from the pure elements comes out at 80 meV/atom.



Density functional theory data (PBE) for crystalline YCuSe2 at its relaxed geometry.

Cell lengths 3.928, 3.928, 10.751 Å; angles 90.00, 90.00, 90.00 degrees
Element x y z (fractional)
1 Y 0.000 0.000 0.000
2 Y 0.500 0.500 0.500
3 Cu 0.000 0.500 0.750
4 Cu 0.500 0.000 0.250
5 Se 0.000 0.000 0.500
6 Se 0.000 0.500 0.250
7 Se 0.500 0.000 0.750
8 Se 0.500 0.500 0.000

Results
The space group is No. 119. As for the formation energy without anion corrections: -0.80 eV/atom. As for the crystal system: tetragonal.



Density functional theory data (PBE) for crystalline Tl12ZnBi6 at its relaxed geometry.

Cell lengths 8.508, 8.508, 8.508 Å; angles 88.70, 88.70, 88.70 degrees
Element x y z (fractional)
1 Tl 0.017 0.930 0.308
2 Tl 0.070 0.692 0.983
3 Tl 0.120 0.441 0.348
4 Tl 0.308 0.017 0.930
5 Tl 0.348 0.120 0.441
6 Tl 0.441 0.348 0.120
7 Tl 0.559 0.652 0.880
8 Tl 0.652 0.880 0.559
9 Tl 0.692 0.983 0.070
10 Tl 0.880 0.559 0.652
11 Tl 0.930 0.308 0.017
12 Tl 0.983 0.070 0.692
13 Zn 0.500 0.500 0.500
14 Bi 0.239 0.388 0.732
15 Bi 0.268 0.761 0.612
16 Bi 0.388 0.732 0.239
17 Bi 0.612 0.268 0.761
18 Bi 0.732 0.239 0.388
19 Bi 0.761 0.612 0.268

Results
The space group is No. 148. As for the crystal system: trigonal. The energy of formation from the pure elements comes out at 24 meV/atom.



Density functional theory data (PBE) for crystalline PrTm2Hg5 at its relaxed geometry.

Cell lengths 5.233, 5.233, 14.676 Å; angles 90.00, 90.00, 90.00 degrees
Element x y z (fractional)
1 Pr 0.000 0.000 0.000
2 Pr 0.500 0.500 0.500
3 Tm 0.000 0.000 0.266
4 Tm 0.000 0.000 0.734
5 Tm 0.500 0.500 0.234
6 Tm 0.500 0.500 0.766
7 Hg 0.000 0.000 0.500
8 Hg 0.000 0.500 0.132
9 Hg 0.000 0.500 0.368
10 Hg 0.000 0.500 0.632
11 Hg 0.000 0.500 0.868
12 Hg 0.500 0.000 0.132
13 Hg 0.500 0.000 0.368
14 Hg 0.500 0.000 0.632
15 Hg 0.500 0.000 0.868
16 Hg 0.500 0.500 0.000

Results
The space group is No. 139. As for the crystal system: tetragonal. The energy of formation from the pure elements comes out at -434 meV/atom.



Density functional theory data (PBE) for crystalline AlTl2CoSe at its relaxed geometry.

Cell lengths 5.077, 5.077, 4.597 Å; angles 90.00, 90.00, 90.00 degrees
Element x y z (fractional)
1 Al 0.000 0.000 0.000
2 Tl 0.000 0.500 0.500
3 Tl 0.500 0.000 0.500
4 Co 0.000 0.000 0.500
5 Se 0.500 0.500 0.000

Results
The space group is No. 123. As for the formation energy without anion corrections: 0.15 eV/atom. As for the crystal system: tetragonal.



Density functional theory data (PBE) for crystalline KNaBi at its relaxed geometry.

Cell lengths 5.046, 7.000, 14.404 Å; angles 90.00, 90.00, 90.00 degrees
Element x y z (fractional)
1 K 0.000 0.000 0.209
2 K 0.000 0.000 0.791
3 K 0.500 0.500 0.291
4 K 0.500 0.500 0.709
5 Na 0.000 0.218 0.500
6 Na 0.000 0.782 0.500
7 Na 0.500 0.282 0.000
8 Na 0.500 0.718 0.000
9 Bi 0.000 0.500 0.109
10 Bi 0.000 0.500 0.891
11 Bi 0.500 0.000 0.391
12 Bi 0.500 0.000 0.609

Results
The space group is No. 71. As for the crystal system: orthorhombic. The energy of formation from the pure elements comes out at -256 meV/atom.



Density functional theory data (PBE) for crystalline Zr2ZnW at its relaxed geometry.

Cell lengths 9.545, 2.947, 5.485 Å; angles 90.00, 97.00, 90.00 degrees
Element x y z (fractional)
1 Zr 0.243 0.000 0.251
2 Zr 0.257 0.500 0.749
3 Zr 0.743 0.500 0.251
4 Zr 0.757 0.000 0.749
5 Zn 0.000 0.500 0.000
6 Zn 0.500 0.000 0.000
7 W 0.000 0.000 0.500
8 W 0.500 0.500 0.500

Results
The space group is No. 12. As for the crystal system: monoclinic. The energy of formation from the pure elements comes out at 230 meV/atom.



Density functional theory data (PBE) for crystalline RbAl3Sb at its relaxed geometry.

Cell lengths 5.638, 5.638, 5.638 Å; angles 90.00, 90.00, 90.00 degrees
Element x y z (fractional)
1 Rb 0.000 0.000 0.000
2 Al 0.000 0.500 0.500
3 Al 0.500 0.000 0.500
4 Al 0.500 0.500 0.000
5 Sb 0.500 0.500 0.500

Results
The space group is No. 221. As for the formation energy without anion corrections: 0.64 eV/atom. As for the crystal system: cubic.



| no. | mass density (g/cm³) |
| --- | --- |
| 1 | 8.21 |
| 2 | 6.21 |
| 3 | 10.18 |
| 4 | 12.24 |
| 5 | 8.04 |
| 6 | 3.54 |
| 7 | 9.36 |
| 8 | 2.67 |